# 1
This record from the Alexandria database describes ZnAg2Hg at its PBEsol-relaxed geometry. The functional is SCAN.

The structure in CIF format:
```
data_ZnAg2Hg
_chemical_formula_sum 'Zn1 Ag2 Hg1'
_space_group_name_H-M_alt 'P m m m'
_space_group_IT_number 47
_cell_length_a 3.363
_cell_length_b 4.494
_cell_length_c 4.502
_cell_angle_alpha 90.00
_cell_angle_beta 90.00
_cell_angle_gamma 90.00
loop_
_space_group_symop_operation_xyz
'x,y,z'
'-x,-y,-z'
'-x,-y,z'
'x,y,-z'
'x,-y,-z'
'-x,y,z'
'-x,y,-z'
'x,-y,z'
loop_
_atom_site_label
_atom_site_type_symbol
_atom_site_fract_x
_atom_site_fract_y
_atom_site_fract_z
Zn1 Zn 0.000 0.000 0.000
Ag1 Ag 0.000 0.500 0.500
Ag2 Ag 0.500 0.000 0.500
Hg1 Hg 0.500 0.500 0.000
```

- Energy of formation: 0.068 eV/atom
- Energy above the lowest structure with this stoichiometry: 0.14 eV/f.u.

# 2
This record from the Alexandria database describes ZnAg2Hg at its PBEsol-relaxed geometry. The functional is SCAN.

The structure in CIF format:
```
data_ZnAg2Hg
_chemical_formula_sum 'Zn1 Ag2 Hg1'
_space_group_name_H-M_alt 'P m m 2'
_space_group_IT_number 25
_cell_length_a 3.000
_cell_length_b 3.775
_cell_length_c 6.007
_cell_angle_alpha 90.00
_cell_angle_beta 90.00
_cell_angle_gamma 90.00
loop_
_space_group_symop_operation_xyz
'x,y,z'
'-x,-y,z'
'-x,y,z'
'x,-y,z'
loop_
_atom_site_label
_atom_site_type_symbol
_atom_site_fract_x
_atom_site_fract_y
_atom_site_fract_z
Zn1 Zn 0.000 0.000 0.000
Ag1 Ag 0.000 0.000 0.465
Ag2 Ag 0.500 0.500 0.215
Hg1 Hg 0.500 0.500 0.733
```

- Energy of formation: 0.053 eV/atom
- Energy above the lowest structure with this stoichiometry: 0.08 eV/f.u.

# 3
This record from the Alexandria database describes ZnAg2Hg at its PBEsol-relaxed geometry. The functional is SCAN.

The structure in CIF format:
```
data_ZnAg2Hg
_chemical_formula_sum 'Zn2 Ag4 Hg2'
_space_group_name_H-M_alt 'I m m m'
_space_group_IT_number 71
_space_group_name_Hall '-I 2 2'
_cell_length_a 3.242
_cell_length_b 4.578
_cell_length_c 9.098
_cell_angle_alpha 90.00
_cell_angle_beta 90.00
_cell_angle_gamma 90.00
loop_
_atom_site_label
_atom_site_type_symbol
_atom_site_fract_x
_atom_site_fract_y
_atom_site_fract_z
Zn1 Zn 0.000 0.000 0.000
Ag1 Ag 0.000 0.500 0.267
Hg1 Hg 0.000 0.000 0.500
```

- Energy of formation: 0.046 eV/atom
- Energy above the lowest structure with this stoichiometry: 0.05 eV/f.u.

# 4
This record from the Alexandria database describes ZrAgHg2 at its PBEsol-relaxed geometry. The functional is SCAN.

The structure in CIF format:
```
data_ZrAgHg2
_chemical_formula_sum 'Zr1 Ag1 Hg2'
_space_group_name_H-M_alt 'P 4/m m m'
_space_group_IT_number 123
_space_group_name_Hall '-P 4 2'
_cell_length_a 4.641
_cell_length_b 4.641
_cell_length_c 3.709
_cell_angle_alpha 90.00
_cell_angle_beta 90.00
_cell_angle_gamma 90.00
loop_
_atom_site_label
_atom_site_type_symbol
_atom_site_fract_x
_atom_site_fract_y
_atom_site_fract_z
Zr1 Zr 0.000 0.000 0.000
Ag1 Ag 0.500 0.500 0.000
Hg1 Hg 0.000 0.500 0.500
```

- Energy of formation: -0.120 eV/atom

# 5
This record from the Alexandria database describes Zr2AgHg at its PBEsol-relaxed geometry. The functional is SCAN.

The structure in CIF format:
```
data_Zr2AgHg
_chemical_formula_sum 'Zr2 Ag1 Hg1'
_space_group_name_H-M_alt 'P 4/m m m'
_space_group_IT_number 123
_space_group_name_Hall '-P 4 2'
_cell_length_a 3.047
_cell_length_b 3.047
_cell_length_c 8.486
_cell_angle_alpha 90.00
_cell_angle_beta 90.00
_cell_angle_gamma 90.00
loop_
_atom_site_label
_atom_site_type_symbol
_atom_site_fract_x
_atom_site_fract_y
_atom_site_fract_z
Zr1 Zr 0.000 0.000 0.243
Ag1 Ag 0.500 0.500 0.000
Hg1 Hg 0.500 0.500 0.500
```

- Energy of formation: -0.194 eV/atom

# 6
This record from the Alexandria database describes Zr2AgHg at its PBEsol-relaxed geometry. The functional is SCAN.

The structure in CIF format:
```
data_Zr2AgHg
_chemical_formula_sum 'Zr2 Ag1 Hg1'
_space_group_name_H-M_alt 'P 4 m m'
_space_group_IT_number 99
_cell_length_a 3.507
_cell_length_b 3.507
_cell_length_c 6.534
_cell_angle_alpha 90.00
_cell_angle_beta 90.00
_cell_angle_gamma 90.00
loop_
_space_group_symop_operation_xyz
'x,y,z'
'-y,x,z'
'-x,-y,z'
'y,-x,z'
'-x,y,z'
'y,x,z'
'x,-y,z'
'-y,-x,z'
loop_
_atom_site_label
_atom_site_type_symbol
_atom_site_fract_x
_atom_site_fract_y
_atom_site_fract_z
Zr1 Zr 0.000 0.000 0.000
Zr2 Zr 0.500 0.500 0.282
Ag1 Ag 0.000 0.000 0.520
Hg1 Hg 0.500 0.500 0.754
```

- Energy of formation: -0.226 eV/atom

# 7
This record from the Alexandria database describes ZrAgHg2 at its PBEsol-relaxed geometry. The functional is SCAN.

The structure in CIF format:
```
data_ZrAgHg2
_chemical_formula_sum 'Zr1 Ag1 Hg2'
_space_group_name_H-M_alt 'P 4 m m'
_space_group_IT_number 99
_cell_length_a 3.128
_cell_length_b 3.128
_cell_length_c 8.122
_cell_angle_alpha 90.00
_cell_angle_beta 90.00
_cell_angle_gamma 90.00
loop_
_space_group_symop_operation_xyz
'x,y,z'
'-y,x,z'
'-x,-y,z'
'y,-x,z'
'-x,y,z'
'y,x,z'
'x,-y,z'
'-y,-x,z'
loop_
_atom_site_label
_atom_site_type_symbol
_atom_site_fract_x
_atom_site_fract_y
_atom_site_fract_z
Zr1 Zr 0.000 0.000 0.000
Ag1 Ag 0.500 0.500 0.241
Hg1 Hg 0.000 0.000 0.476
Hg2 Hg 0.500 0.500 0.747
```

- Energy of formation: -0.076 eV/atom

# 8
This record from the Alexandria database describes ZrAgHg2 at its PBEsol-relaxed geometry. The functional is SCAN.

The structure in CIF format:
```
data_ZrAgHg2
_chemical_formula_sum 'Zr2 Ag2 Hg4'
_space_group_name_H-M_alt 'C 1 2/m 1'
_space_group_IT_number 12
_cell_length_a 9.350
_cell_length_b 3.142
_cell_length_c 5.574
_cell_angle_alpha 90.00
_cell_angle_beta 101.30
_cell_angle_gamma 90.00
loop_
_space_group_symop_operation_xyz
'x,y,z'
'-x,-y,-z'
'-x,y,-z'
'x,-y,z'
'x+1/2,y+1/2,z'
'-x+1/2,-y+1/2,-z'
'-x+1/2,y+1/2,-z'
'x+1/2,-y+1/2,z'
loop_
_atom_site_label
_atom_site_type_symbol
_atom_site_fract_x
_atom_site_fract_y
_atom_site_fract_z
Zr1 Zr 0.000 0.000 0.000
Ag1 Ag 0.000 0.500 0.500
Hg1 Hg 0.247 0.000 0.741
```

- Energy of formation: -0.083 eV/atom

# 9
This record from the Alexandria database describes ZrAgHg2 at its PBEsol-relaxed geometry. The functional is SCAN.

The structure in CIF format:
```
data_ZrAgHg2
_chemical_formula_sum 'Zr1 Ag1 Hg2'
_space_group_name_H-M_alt 'P 1 m 1'
_space_group_IT_number 6
_cell_length_a 2.932
_cell_length_b 4.762
_cell_length_c 5.754
_cell_angle_alpha 90.00
_cell_angle_beta 91.16
_cell_angle_gamma 90.00
loop_
_space_group_symop_operation_xyz
'x,y,z'
'x,-y,z'
loop_
_atom_site_label
_atom_site_type_symbol
_atom_site_fract_x
_atom_site_fract_y
_atom_site_fract_z
Zr1 Zr 0.000 0.000 0.000
Ag1 Ag 0.525 0.500 0.244
Hg1 Hg 0.488 0.500 0.767
Hg2 Hg 0.496 0.000 0.488
```

- Energy of formation: -0.106 eV/atom

# 10
This record from the Alexandria database describes Zr2AgHg at its PBEsol-relaxed geometry. The functional is SCAN.

The structure in CIF format:
```
data_Zr2AgHg
_chemical_formula_sum 'Zr4 Ag2 Hg2'
_space_group_name_H-M_alt 'I 4/m m m'
_space_group_IT_number 139
_space_group_name_Hall '-I 4 2'
_cell_length_a 4.271
_cell_length_b 4.271
_cell_length_c 8.594
_cell_angle_alpha 90.00
_cell_angle_beta 90.00
_cell_angle_gamma 90.00
loop_
_atom_site_label
_atom_site_type_symbol
_atom_site_fract_x
_atom_site_fract_y
_atom_site_fract_z
Zr1 Zr 0.000 0.500 0.250
Ag1 Ag 0.000 0.000 0.000
Hg1 Hg 0.000 0.000 0.500
```

- Energy of formation: -0.214 eV/atom

# 11
This record from the Alexandria database describes Zr2AgHg at its PBEsol-relaxed geometry. The functional is SCAN.

The structure in CIF format:
```
data_Zr2AgHg
_chemical_formula_sum 'Zr2 Ag1 Hg1'
_space_group_name_H-M_alt 'P m m 2'
_space_group_IT_number 25
_cell_length_a 3.009
_cell_length_b 4.968
_cell_length_c 5.270
_cell_angle_alpha 90.00
_cell_angle_beta 90.00
_cell_angle_gamma 90.00
loop_
_space_group_symop_operation_xyz
'x,y,z'
'-x,-y,z'
'-x,y,z'
'x,-y,z'
loop_
_atom_site_label
_atom_site_type_symbol
_atom_site_fract_x
_atom_site_fract_y
_atom_site_fract_z
Zr1 Zr 0.000 0.000 0.000
Zr2 Zr 0.000 0.500 0.369
Ag1 Ag 0.500 0.500 0.858
Hg1 Hg 0.500 0.000 0.513
```

- Energy of formation: -0.196 eV/atom

# 12
This record from the Alexandria database describes ZrAgHg2 at its PBEsol-relaxed geometry. The functional is SCAN.

The structure in CIF format:
```
data_ZrAgHg2
_chemical_formula_sum 'Zr1 Ag1 Hg2'
_space_group_name_H-M_alt 'P m m m'
_space_group_IT_number 47
_cell_length_a 3.187
_cell_length_b 3.221
_cell_length_c 7.578
_cell_angle_alpha 90.00
_cell_angle_beta 90.00
_cell_angle_gamma 90.00
loop_
_space_group_symop_operation_xyz
'x,y,z'
'-x,-y,-z'
'-x,-y,z'
'x,y,-z'
'x,-y,-z'
'-x,y,z'
'-x,y,-z'
'x,-y,z'
loop_
_atom_site_label
_atom_site_type_symbol
_atom_site_fract_x
_atom_site_fract_y
_atom_site_fract_z
Zr1 Zr 0.000 0.000 0.000
Ag1 Ag 0.000 0.000 0.500
Hg1 Hg 0.500 0.500 0.261
```

- Energy of formation: -0.173 eV/atom

# 13
This record from the Alexandria database describes Zr2AgHg at its PBEsol-relaxed geometry. The functional is SCAN.

The structure in CIF format:
```
data_Zr2AgHg
_chemical_formula_sum 'Zr4 Ag2 Hg2'
_space_group_name_H-M_alt 'C m m m'
_space_group_IT_number 65
_space_group_name_Hall '-C 2 2'
_cell_length_a 5.957
_cell_length_b 8.570
_cell_length_c 3.077
_cell_angle_alpha 90.00
_cell_angle_beta 90.00
_cell_angle_gamma 90.00
loop_
_atom_site_label
_atom_site_type_symbol
_atom_site_fract_x
_atom_site_fract_y
_atom_site_fract_z
Zr1 Zr 0.250 0.250 0.000
Ag1 Ag 0.000 0.000 0.500
Hg1 Hg 0.000 0.500 0.500
```

- Energy of formation: -0.207 eV/atom

# 14
This record from the Alexandria database describes Zr2AgHg at its PBEsol-relaxed geometry. The functional is SCAN.

The structure in CIF format:
```
data_Zr2AgHg
_chemical_formula_sum 'Zr2 Ag1 Hg1'
_space_group_name_H-M_alt 'P m m m'
_space_group_IT_number 47
_cell_length_a 3.060
_cell_length_b 4.275
_cell_length_c 6.004
_cell_angle_alpha 90.00
_cell_angle_beta 90.00
_cell_angle_gamma 90.00
loop_
_space_group_symop_operation_xyz
'x,y,z'
'-x,-y,-z'
'-x,-y,z'
'x,y,-z'
'x,-y,-z'
'-x,y,z'
'-x,y,-z'
'x,-y,z'
loop_
_atom_site_label
_atom_site_type_symbol
_atom_site_fract_x
_atom_site_fract_y
_atom_site_fract_z
Zr1 Zr 0.000 0.000 0.248
Ag1 Ag 0.500 0.500 0.000
Hg1 Hg 0.500 0.500 0.500
```

- Energy of formation: -0.203 eV/atom

# 15
This record from the Alexandria database describes Ho14Ag51 at its PBEsol-relaxed geometry. The functional is SCAN.

The structure in CIF format:
```
data_Ho14Ag51
_chemical_formula_sum 'Ho14 Ag51'
_space_group_name_H-M_alt 'P -6'
_space_group_IT_number 174
_cell_length_a 12.4561
_cell_length_b 12.4561
_cell_length_c 9.1407
_cell_angle_alpha 90.00
_cell_angle_beta 90.00
_cell_angle_gamma 120.00
loop_
_space_group_symop_operation_xyz
'x,y,z'
'-x+y,-x,-z'
'-y,x-y,z'
'x,y,-z'
'-x+y,-x,z'
'-y,x-y,-z'
loop_
_atom_site_label
_atom_site_type_symbol
_atom_site_fract_x
_atom_site_fract_y
_atom_site_fract_z
Ho1 Ho 0.0000 0.0000 0.1924
Ho2 Ho 0.1145 0.7305 0.5000
Ho3 Ho 0.1402 0.4703 0.0000
Ho4 Ho 0.3988 0.1131 0.5000
Ho5 Ho 0.4655 0.3267 0.0000
Ag1 Ag 0.0567 0.8217 0.0000
Ag2 Ag 0.0781 0.2724 0.2572
Ag3 Ag 0.1032 0.6665 0.1668
Ag4 Ag 0.1150 0.4977 0.3482
Ag5 Ag 0.1277 0.0017 0.5000
Ag6 Ag 0.2408 0.0599 0.0000
Ag7 Ag 0.2590 0.1848 0.2741
Ag8 Ag 0.3333 0.6667 0.1962
Ag9 Ag 0.3333 0.6667 0.5000
Ag10 Ag 0.4421 0.1048 0.1672
Ag11 Ag 0.4898 0.3737 0.3468
Ag12 Ag 0.6667 0.3333 0.1958
Ag13 Ag 0.6667 0.3333 0.5000
```

- Energy of formation: -0.254 eV/atom

# 16
This record from the Alexandria database describes HoAg2 at its PBEsol-relaxed geometry. The functional is SCAN.

The structure in CIF format:
```
data_HoAg2
_chemical_formula_sum 'Ho2 Ag4'
_space_group_name_H-M_alt 'I 4/m m m'
_space_group_IT_number 139
_space_group_name_Hall '-I 4 2'
_cell_length_a 3.649
_cell_length_b 3.649
_cell_length_c 9.042
_cell_angle_alpha 90.00
_cell_angle_beta 90.00
_cell_angle_gamma 90.00
loop_
_atom_site_label
_atom_site_type_symbol
_atom_site_fract_x
_atom_site_fract_y
_atom_site_fract_z
Ho1 Ho 0.000 0.000 0.000
Ag1 Ag 0.000 0.000 0.330
```

- Energy of formation: -0.374 eV/atom

# 17
This record from the Alexandria database describes Ho2InAg at its PBEsol-relaxed geometry. The functional is SCAN.

The structure in CIF format:
```
data_Ho2InAg
_chemical_formula_sum 'Ho2 In1 Ag1'
_space_group_name_H-M_alt 'P 4/m m m'
_space_group_IT_number 123
_space_group_name_Hall '-P 4 2'
_cell_length_a 3.535
_cell_length_b 3.535
_cell_length_c 7.565
_cell_angle_alpha 90.00
_cell_angle_beta 90.00
_cell_angle_gamma 90.00
loop_
_atom_site_label
_atom_site_type_symbol
_atom_site_fract_x
_atom_site_fract_y
_atom_site_fract_z
Ho1 Ho 0.000 0.000 0.237
In1 In 0.500 0.500 0.500
Ag1 Ag 0.500 0.500 0.000
```

- Energy of formation: -0.511 eV/atom
- Energy above the lowest structure with this stoichiometry: 0.01 eV/f.u.

# 18
This record from the Alexandria database describes Ho2InAg at its PBEsol-relaxed geometry. The functional is SCAN.

The structure in CIF format:
```
data_Ho2InAg
_chemical_formula_sum 'Ho8 In4 Ag4'
_space_group_name_H-M_alt 'F m -3 m'
_space_group_IT_number 225
_space_group_name_Hall '-F 4 2 3'
_cell_length_a 7.261
_cell_length_b 7.261
_cell_length_c 7.261
_cell_angle_alpha 90.00
_cell_angle_beta 90.00
_cell_angle_gamma 90.00
loop_
_atom_site_label
_atom_site_type_symbol
_atom_site_fract_x
_atom_site_fract_y
_atom_site_fract_z
Ho1 Ho 0.250 0.250 0.250
In1 In 0.000 0.000 0.000
Ag1 Ag 0.000 0.000 0.500
```

- Energy of formation: -0.514 eV/atom
- Energy above the lowest structure with this stoichiometry: 0.00 eV/f.u.

# 19
This record from the Alexandria database describes Ho2AgIr at its PBEsol-relaxed geometry. The functional is SCAN.

The structure in CIF format:
```
data_Ho2AgIr
_chemical_formula_sum 'Ho8 Ag4 Ir4'
_space_group_name_H-M_alt 'F m -3 m'
_space_group_IT_number 225
_space_group_name_Hall '-F 4 2 3'
_cell_length_a 6.880
_cell_length_b 6.880
_cell_length_c 6.880
_cell_angle_alpha 90.00
_cell_angle_beta 90.00
_cell_angle_gamma 90.00
loop_
_atom_site_label
_atom_site_type_symbol
_atom_site_fract_x
_atom_site_fract_y
_atom_site_fract_z
Ho1 Ho 0.250 0.250 0.250
Ag1 Ag 0.000 0.000 0.000
Ir1 Ir 0.000 0.000 0.500
```

- Energy of formation: -0.775 eV/atom

# 20
This record from the Alexandria database describes HoLuAg2 at its PBEsol-relaxed geometry. The functional is SCAN.

The structure in CIF format:
```
data_HoLuAg2
_chemical_formula_sum 'Ho4 Lu4 Ag8'
_space_group_name_H-M_alt 'F m -3 m'
_space_group_IT_number 225
_space_group_name_Hall '-F 4 2 3'
_cell_length_a 7.046
_cell_length_b 7.046
_cell_length_c 7.046
_cell_angle_alpha 90.00
_cell_angle_beta 90.00
_cell_angle_gamma 90.00
loop_
_atom_site_label
_atom_site_type_symbol
_atom_site_fract_x
_atom_site_fract_y
_atom_site_fract_z
Ho1 Ho 0.000 0.000 0.000
Lu1 Lu 0.000 0.000 0.500
Ag1 Ag 0.250 0.250 0.250
```

- Energy of formation: -0.400 eV/atom